Below is an optimized crystal structure of PmPuMn2O8, with properties calculated at the PBE+U level.

POSCAR file:
```
PmPuMn2O8
1.0
-3.5416 3.5416 3.3497
3.5416 -3.5416 3.3497
3.5416 3.5416 -3.3497
Pm Pu Mn O
1 1 2 8
direct
0.0000 0.0000 0.0000
0.2500 0.7500 0.5000
0.5000 0.5000 0.0000
0.7500 0.2500 0.5000
0.2980 0.0871 0.7891
0.2980 0.5089 0.2109
0.4006 0.0804 0.3202
0.4911 0.7020 0.7891
0.7602 0.0804 0.6798
0.9129 0.7020 0.2109
0.9196 0.2398 0.3202
0.9196 0.5994 0.6798
```

Values from the calculation:
Its symmetry is I-4m2. The volume is 14.005 A^3/atom. As for the calculated total energy: -8.2098 eV per atom. For the total moment, the calculation gives 9.0 μB/cell.